[1]
KBaTcO4: relaxed, GGA-PBE.

Geometry as CIF:
```
data_KBaTcO4
_chemical_formula_sum 'K1 Ba1 Tc1 O4'
_cell_length_a 6.8938
_cell_length_b 6.8938
_cell_length_c 6.8938
_cell_angle_alpha 60.00
_cell_angle_beta 60.00
_cell_angle_gamma 60.00
_symmetry_space_group_name_H-M 'P 1'
_symmetry_Int_Tables_number 1
_symmetry_space_group_name_Hall 'P 1'
loop_
_atom_site_label
_atom_site_fract_x
_atom_site_fract_y
_atom_site_fract_z
K1 0.0000 0.0000 0.0000
Ba1 0.7500 0.7500 0.7500
Tc1 0.2500 0.2500 0.2500
O1 0.1437 0.1437 0.1437
O2 0.1437 0.1437 0.5688
O3 0.1437 0.5688 0.1437
O4 0.5688 0.1437 0.1437
```

Calculated values
- Formation energy from raw total energies: -1.3053 eV/atom
- Density: 2.426 g/cm3
- Crystal system: cubic

***

[2]
CaCd2Mo: relaxed, GGA-PBE.

Geometry as CIF:
```
data_CaCd2Mo
_chemical_formula_sum 'Ca1 Cd2 Mo1'
_cell_length_a 2.9848
_cell_length_b 2.9848
_cell_length_c 9.4563
_cell_angle_alpha 90.00
_cell_angle_beta 90.00
_cell_angle_gamma 90.10
_symmetry_space_group_name_H-M 'P 1'
_symmetry_Int_Tables_number 1
_symmetry_space_group_name_Hall 'P 1'
loop_
_atom_site_label
_atom_site_fract_x
_atom_site_fract_y
_atom_site_fract_z
Ca1 0.0000 0.0000 0.0000
Cd1 0.5000 0.5000 0.2715
Cd2 0.5000 0.5000 0.7285
Mo1 0.0000 0.0000 0.5000
```

Calculated values
- Calculated formation energy: 0.29 eV/atom
- Density: 7.112 g/cm3
- Crystal system: orthorhombic

***

[3]
Li4In2Ag3: relaxed, GGA-PBE.

Geometry as CIF:
```
data_Li4In2Ag3
_chemical_formula_sum 'Li4 In2 Ag3'
_cell_length_a 4.6144
_cell_length_b 4.6144
_cell_length_c 8.4158
_cell_angle_alpha 90.08
_cell_angle_beta 90.08
_cell_angle_gamma 59.95
_symmetry_space_group_name_H-M 'P 1'
_symmetry_Int_Tables_number 1
_symmetry_space_group_name_Hall 'P 1'
loop_
_atom_site_label
_atom_site_fract_x
_atom_site_fract_y
_atom_site_fract_z
Li1 0.9999 0.9999 0.1614
Li2 0.0001 0.0001 0.8386
Li3 0.3333 0.3333 0.6024
Li4 0.6667 0.6667 0.3976
In1 0.3334 0.3334 0.2717
In2 0.6666 0.6666 0.7283
Ag1 0.0000 0.0000 0.5000
Ag2 0.3334 0.3334 0.9285
Ag3 0.6666 0.6666 0.0715
```

Calculated values
- Calculated formation energy: -0.24 eV/atom
- Density: 6.220 g/cm3
- Crystal system: monoclinic

***

[4]
LiH4SNO4: relaxed, GGA-PBE.

Geometry as CIF:
```
data_LiH4SNO4
_chemical_formula_sum 'Li8 H32 S8 N8 O32'
_cell_length_a 9.2253
_cell_length_b 5.4384
_cell_length_c 17.3649
_cell_angle_alpha 90.00
_cell_angle_beta 90.60
_cell_angle_gamma 90.00
_symmetry_space_group_name_H-M 'P 1'
_symmetry_Int_Tables_number 1
_symmetry_space_group_name_Hall 'P 1'
loop_
_atom_site_label
_atom_site_fract_x
_atom_site_fract_y
_atom_site_fract_z
Li1 0.0916 0.2297 0.1624
Li2 0.0916 0.2703 0.6624
Li3 0.4044 0.2328 0.9144
Li4 0.4044 0.2672 0.4144
Li5 0.5956 0.7328 0.5856
Li6 0.5956 0.7672 0.0856
Li7 0.9084 0.7297 0.3376
Li8 0.9084 0.7703 0.8376
H1 0.1276 0.6384 0.4555
H2 0.1276 0.8616 0.9555
H3 0.1387 0.6756 0.0352
H4 0.1387 0.8244 0.5352
H5 0.1814 0.6989 0.2443
H6 0.1814 0.8011 0.7443
H7 0.2283 0.6060 0.9535
H8 0.2283 0.8940 0.4535
H9 0.2814 0.6452 0.5074
H10 0.2814 0.8548 0.0074
H11 0.3054 0.5855 0.7231
H12 0.3054 0.9145 0.2231
H13 0.3363 0.6233 0.1974
H14 0.3363 0.8767 0.6974
H15 0.3447 0.6966 0.2927
H16 0.3447 0.8034 0.7927
H17 0.6553 0.1966 0.2073
H18 0.6553 0.3034 0.7073
H19 0.6637 0.1233 0.3026
H20 0.6637 0.3767 0.8026
H21 0.6946 0.0855 0.7769
H22 0.6946 0.4145 0.2769
H23 0.7186 0.1452 0.9926
H24 0.7186 0.3548 0.4926
H25 0.7717 0.1060 0.5465
H26 0.7717 0.3940 0.0465
H27 0.8186 0.1989 0.2557
H28 0.8186 0.3011 0.7557
H29 0.8613 0.1756 0.4648
H30 0.8613 0.3244 0.9648
H31 0.8724 0.1384 0.0445
H32 0.8724 0.3616 0.5445
S1 0.0640 0.2225 0.3554
S2 0.0640 0.2775 0.8554
S3 0.4184 0.2488 0.1056
S4 0.4184 0.2512 0.6056
S5 0.5816 0.7488 0.3944
S6 0.5816 0.7512 0.8944
S7 0.9360 0.7225 0.1446
S8 0.9360 0.7775 0.6446
N1 0.1954 0.7485 0.9886
N2 0.1954 0.7515 0.4886
N3 0.2915 0.7324 0.2403
N4 0.2915 0.7676 0.7403
N5 0.7085 0.2324 0.2597
N6 0.7085 0.2676 0.7597
N7 0.8046 0.2485 0.5114
N8 0.8046 0.2515 0.0114
O1 0.0283 0.0292 0.8872
O2 0.0283 0.4708 0.3872
O3 0.0367 0.5379 0.1098
O4 0.0367 0.9621 0.6098
O5 0.0399 0.2252 0.2708
O6 0.0399 0.2748 0.7708
O7 0.2162 0.1550 0.3744
O8 0.2162 0.3450 0.8744
O9 0.3013 0.1839 0.1609
O10 0.3013 0.3161 0.6609
O11 0.3702 0.1908 0.0258
O12 0.3702 0.3092 0.5258
O13 0.4487 0.6021 0.3748
O14 0.4487 0.8979 0.8748
O15 0.4498 0.5169 0.1138
O16 0.4498 0.9831 0.6138
O17 0.5502 0.0169 0.3862
O18 0.5502 0.4831 0.8862
O19 0.5513 0.1021 0.1252
O20 0.5513 0.3979 0.6252
O21 0.6298 0.6908 0.4742
O22 0.6298 0.8092 0.9742
O23 0.6987 0.6839 0.3391
O24 0.6987 0.8161 0.8391
O25 0.7838 0.6550 0.1256
O26 0.7838 0.8450 0.6256
O27 0.9601 0.7252 0.2292
O28 0.9601 0.7748 0.7292
O29 0.9633 0.0379 0.3902
O30 0.9633 0.4621 0.8902
O31 0.9717 0.5292 0.6128
O32 0.9717 0.9708 0.1128
```

Calculated values
- Density: 1.846 g/cm3
- Crystal system: monoclinic
- Electronic total energy: -5.535 eV per atom